This record from Alexandria via LeMat-Bulk describes crystalline Pr3SnAs2Pd9 at its relaxed geometry. The functional is PBE.

The structure in POSCAR format:
```
Pr3SnAs2Pd9
1.0
6.554 0.000 0.000
-3.277 5.676 0.000
0.000 0.000 9.190
Pr Sn As Pd
3 1 2 9
Cartesian
0.000 3.784 6.550
0.000 0.000 0.000
3.277 1.892 2.639
0.000 0.000 4.595
0.000 3.784 1.587
3.277 1.892 7.602
5.150 0.811 6.668
3.277 4.055 6.668
1.404 0.811 6.668
1.873 4.866 2.521
0.000 1.621 2.521
-1.873 4.866 2.521
3.277 0.000 0.000
-1.639 2.838 0.000
1.639 2.838 0.000
```

Density of states at the Fermi level (states/eV/f.u.): 6.2
SG: P-3m1 (164)
Total magnetization (μB/f.u.): 0.00
Total DFT energy (no corrections) (eV for the cell shown): -82.7

=====

This record from Alexandria via LeMat-Bulk describes crystalline TiBiP2S at its relaxed geometry. The functional is PBE.

The structure in POSCAR format:
```
TiBiP2S
1.0
4.855 0.000 0.000
0.000 4.855 0.000
0.000 0.000 4.576
P S Bi Ti
2 1 1 1
Cartesian
0.000 2.428 0.000
2.428 0.000 0.000
0.000 0.000 2.288
2.428 2.428 2.288
0.000 0.000 0.000
```

Density of states at the Fermi level (states/eV/f.u.): 3.5
SG: P4/mmm (123)
Total magnetization (μB/f.u.): 0.00
Total DFT energy (no corrections) (eV for the cell shown): -26.7

=====

This record from Alexandria via LeMat-Bulk describes crystalline SnGeF2 at its relaxed geometry. The functional is PBE.

The structure in POSCAR format:
```
SnGeF2
1.0
-0.585 -5.871 -0.879
4.579 0.116 -3.822
5.296 -3.794 1.575
Ge Sn F
2 2 4
Cartesian
1.997 -2.878 -2.350
5.936 -3.278 -2.298
0.000 0.000 0.000
3.354 -6.272 -0.827
1.600 -3.911 -0.529
4.044 -2.303 -2.208
6.010 -4.991 -1.032
6.927 -7.896 -2.481
```

Density of states at the Fermi level (states/eV/f.u.): 1.0
SG: I-42d (122)
Total magnetization (μB/f.u.): 0.00
Total DFT energy (no corrections) (eV for the cell shown): -32.4

=====

This record from Alexandria via LeMat-Bulk describes crystalline Co3AsIr at its relaxed geometry. The functional is PBE.

The structure in POSCAR format:
```
Co3AsIr
1.0
4.546 0.000 0.000
0.000 4.546 0.000
0.000 0.000 4.546
As Ir Co
1 1 3
Cartesian
2.273 2.273 2.273
0.000 0.000 0.000
0.000 2.273 0.000
0.000 0.000 2.273
2.273 0.000 0.000
```

Density of states at the Fermi level (states/eV/f.u.): 8.8
SG: Pm-3m (221)
Total magnetization (μB/f.u.): 6.21
Total DFT energy (no corrections) (eV for the cell shown): -28.0

=====

This record from Alexandria via LeMat-Bulk describes crystalline Er2Sc5AgRu2 at its relaxed geometry. The functional is PBE.

The structure in POSCAR format:
```
Er2Sc5AgRu2
1.0
3.711 0.000 0.000
0.000 10.944 0.000
0.000 0.000 10.944
Er Sc Ag Ru
4 10 2 4
Cartesian
0.000 7.438 1.966
0.000 3.506 8.979
0.000 1.966 3.506
0.000 8.979 7.438
1.855 2.289 0.703
1.855 8.656 10.241
1.855 0.703 8.656
1.855 7.761 4.769
1.855 10.241 2.289
1.855 3.184 6.176
1.855 6.176 7.761
1.855 4.769 3.184
1.855 5.472 0.000
1.855 0.000 5.472
0.000 0.000 0.000
0.000 5.472 5.472
0.000 1.398 6.870
0.000 9.547 4.075
0.000 6.870 9.547
0.000 4.075 1.398
```

Density of states at the Fermi level (states/eV/f.u.): 11.9
SG: P4/mbm (127)
Total magnetization (μB/f.u.): 0.00
Total DFT energy (no corrections) (eV for the cell shown): -130.7

=====

This record from Alexandria via LeMat-Bulk describes crystalline ZrTc2Sb at its relaxed geometry. The functional is PBE.

The structure in POSCAR format:
```
ZrTc2Sb
1.0
3.219 0.000 0.000
0.000 5.126 0.001
0.000 3.533 4.337
Sb Tc Zr
1 2 1
Cartesian
0.000 1.766 2.168
0.000 0.000 0.000
1.609 2.563 0.000
1.609 4.329 2.169
```

Density of states at the Fermi level (states/eV/f.u.): 3.3
SG: P2/m (10)
Total magnetization (μB/f.u.): 0.00
Total DFT energy (no corrections) (eV for the cell shown): -33.5

=====

This record from Alexandria via LeMat-Bulk describes crystalline Ba2Ag2PdO6 at its relaxed geometry. The functional is PBE.

The structure in POSCAR format:
```
Ba2Ag2PdO6
1.0
6.257 0.000 0.000
3.128 5.418 0.000
3.128 1.806 5.476
Ba Ag Pd O
2 2 1 6
Cartesian
9.385 5.418 3.538
3.128 1.806 1.938
6.257 3.612 4.223
6.257 3.612 1.253
0.000 0.000 0.000
8.061 4.654 1.350
4.452 4.654 1.350
6.257 1.529 1.350
6.257 5.696 4.126
8.061 2.570 4.126
4.452 2.570 4.126
```

Density of states at the Fermi level (states/eV/f.u.): 7.8
SG: R-3m (166)
Total magnetization (μB/f.u.): 2.11
Total DFT energy (no corrections) (eV for the cell shown): -55.2

=====

This record from Alexandria via LeMat-Bulk describes crystalline Ba2SrBiRh at its relaxed geometry. The functional is PBE.

The structure in POSCAR format:
```
Ba2SrBiRh
1.0
5.894 0.000 0.000
0.000 5.894 0.000
0.000 0.000 5.756
Sr Rh Bi Ba
1 1 1 2
Cartesian
0.000 0.000 2.878
0.000 0.000 0.000
2.947 2.947 2.878
0.000 2.947 0.000
2.947 0.000 0.000
```

Density of states at the Fermi level (states/eV/f.u.): 2.2
SG: P4/mmm (123)
Total magnetization (μB/f.u.): 0.00
Total DFT energy (no corrections) (eV for the cell shown): -19.1